VASP calculation (PBE) on a relaxed structure of PrGdHoLu.

## Properties
* DOS(E_F): 1.71 states/eV per atom
* total DFT energy (no corrections): -6.895 eV per atom

Cell: 8.041 8.041 8.041 Å, 90.00 90.00 90.00°
Space group F-43m (No. 216)
Asymmetric unit:
Pr  0.000  0.000  0.000 x4
Gd  0.000  0.000  0.500 x4
Ho  0.250  0.250  0.750 x4
Lu  0.250  0.250  0.250 x4

---

VASP calculation (PBE) on a relaxed structure of EuGa2Rh.

## Properties
* DOS(E_F): 1.95 states/eV per atom
* total DFT energy (no corrections): -6.546 eV per atom

Cell: 4.2706 4.2706 16.0038 Å, 90.00 90.00 120.00°
Space group R-3m (No. 166, hexagonal axes)
Asymmetric unit:
Eu  0.0000  0.0000  0.0000 x3
Ga  0.0000  0.0000  0.2083 x6
Rh  0.0000  0.0000  0.5000 x3

---

VASP calculation (PBE) on a relaxed structure of Th4IrPt3.

## Properties
* DOS(E_F): 0.54 states/eV per atom
* total DFT energy (no corrections): -8.245 eV per atom

Cell: 5.914 5.914 11.826 Å, 90.00 90.00 90.00°
Space group I4/mmm (No. 139)
Asymmetric unit:
Th  0.000  0.000  0.245 x4
Th  0.000  0.500  0.000 x4
Ir  0.000  0.000  0.000 x2
Pt  0.000  0.000  0.500 x2
Pt  0.000  0.500  0.250 x4

---

VASP calculation (PBE) on a relaxed structure of LiSmPtRh.

## Properties
* DOS(E_F): 0.37 states/eV per atom
* total DFT energy (no corrections): -5.622 eV per atom

Cell: 6.617 6.617 6.617 Å, 90.00 90.00 90.00°
Space group F-43m (No. 216)
Asymmetric unit:
Li  0.000  0.000  0.000 x4
Sm  0.000  0.000  0.500 x4
Pt  0.250  0.250  0.750 x4
Rh  0.250  0.250  0.250 x4

---

VASP calculation (PBE) on a relaxed structure of AcGaCu2Au4.

## Properties
* DOS(E_F): 0.42 states/eV per atom
* total DFT energy (no corrections): -3.863 eV per atom

Cell: 4.4831 4.4831 27.5222 Å, 90.00 90.00 120.00°
Space group R-3m (No. 166, hexagonal axes)
Asymmetric unit:
Ac  0.0000  0.0000  0.0000 x3
Ga  0.0000  0.0000  0.5000 x3
Cu  0.0000  0.0000  0.2357 x6
Au  0.0000  0.0000  0.1307 x6
Au  0.0000  0.0000  0.4028 x6

---

VASP calculation (PBE) on a relaxed structure of Tb12Tl5Ir2.

## Properties
* DOS(E_F): 0.88 states/eV per atom
* total DFT energy (no corrections): -4.718 eV per atom

Cell: 17.034 7.728 9.716 Å, 90.00 105.66 90.00°
Space group C2/m (No. 12)
Asymmetric unit:
Tb  0.003  0.000  0.238 x4
Tb  0.012  0.500  0.827 x4
Tb  0.150  0.252  0.573 x8
Tb  0.164  0.238  0.092 x8
Tl  0.000  0.500  0.500 x2
Tl  0.191  0.000  0.838 x4
Tl  0.199  0.000  0.364 x4
Ir  0.000  0.214  0.000 x4

---

VASP calculation (PBE) on a relaxed structure of VSi2Pb.

## Properties
* DOS(E_F): 0.68 states/eV per atom
* formation energy from raw total energies: 473 meV per atom

Cell: 4.437 4.437 17.036 Å, 90.00 90.00 90.00°
Space group I-42d (No. 122)
Asymmetric unit:
V  0.000  0.000  0.000 x4
Si  0.119  0.250  0.125 x8
Pb  0.000  0.000  0.500 x4

---

VASP calculation (PBE) on a relaxed structure of Tb2Nd6SmEr3.

## Properties
* DOS(E_F): 1.15 states/eV per atom
* total DFT energy (no corrections): -4.677 eV per atom

Cell: 6.275 10.869 11.871 Å, 90.00 100.12 90.00°
Space group C2/m (No. 12)
Asymmetric unit:
Tb  0.000  0.167  0.000 x4
Nd  0.249  0.167  0.748 x8
Nd  0.249  0.500  0.748 x4
Sm  0.000  0.500  0.000 x2
Er  0.000  0.000  0.500 x2
Er  0.000  0.333  0.500 x4

---

VASP calculation (PBE) on a relaxed structure of Ba6Pt2SI2.

## Properties
* DOS(E_F): 0.83 states/eV per atom
* formation energy from raw total energies: -1165 meV per atom

Cell: 8.198 13.938 8.848 Å, 90.00 107.64 90.00°
Space group C2/m (No. 12)
Asymmetric unit:
Ba  0.227  0.000  0.196 x4
Ba  0.236  0.333  0.203 x8
Pt  0.000  0.170  0.000 x4
S  0.000  0.500  0.000 x2
I  0.000  0.337  0.500 x4

---

VASP calculation (PBE) on a relaxed structure of ReP2Br.

## Properties
* DOS(E_F): 0.76 states/eV per atom
* formation energy from raw total energies: 1127 meV per atom

Cell: 3.023 4.519 4.562 Å, 90.00 90.00 90.00°
Space group Pmmm (No. 47)
Asymmetric unit:
Re  0.000  0.000  0.000 x1
P  0.000  0.500  0.500 x1
P  0.500  0.500  0.000 x1
Br  0.500  0.000  0.500 x1

---

VASP calculation (PBE) on a relaxed structure of Tm2PaNb.

## Properties
* DOS(E_F): 1.63 states/eV per atom
* total DFT energy (no corrections): -6.634 eV per atom

Cell: 3.2090 3.2090 34.1407 Å, 90.00 90.00 120.00°
Space group R-3m (No. 166, hexagonal axes)
Asymmetric unit:
Tm  0.0000  0.0000  0.0852 x6
Pa  0.0000  0.0000  0.5000 x3
Nb  0.0000  0.0000  0.0000 x3

---

VASP calculation (PBE) on a relaxed structure of DyB3C.

## Properties
* DOS(E_F): 0.18 states/eV per atom
* total DFT energy (no corrections): -6.646 eV per atom

Cell: 4.252 4.229 5.493 Å, 90.00 110.09 90.00°
Space group Cm (No. 8)
Asymmetric unit:
Dy  0.000  0.000  0.000 x2
B  0.024  0.228  0.505 x4
B  0.372  0.000  0.690 x2
C  0.149  0.500  0.328 x2

---

VASP calculation (PBE) on a relaxed structure of TbTaFe2.

## Properties
* DOS(E_F): 0.35 states/eV per atom
* total DFT energy (no corrections): -8.356 eV per atom

Cell: 3.116 3.116 6.674 Å, 90.00 90.00 90.00°
Space group P4/mmm (No. 123)
Asymmetric unit:
Tb  0.000  0.000  0.000 x1
Ta  0.000  0.000  0.500 x1
Fe  0.500  0.500  0.289 x2

---

VASP calculation (PBE) on a relaxed structure of TbPrNd2Sc.

## Properties
* DOS(E_F): 1.10 states/eV per atom
* total DFT energy (no corrections): -4.868 eV per atom

Cell: 6.313 7.825 6.698 Å, 90.00 90.00 90.00°
Space group Pmma (No. 51)
Asymmetric unit:
Tb  0.250  0.000  0.094 x2
Pr  0.250  0.500  0.195 x2
Nd  0.250  0.293  0.717 x4
Sc  0.000  0.000  0.500 x2

---

VASP calculation (PBE) on a relaxed structure of Pm2Dy6Er3Sc.

## Properties
* DOS(E_F): 1.32 states/eV per atom
* total DFT energy (no corrections): -4.735 eV per atom

Cell: 6.107 10.573 11.708 Å, 90.00 99.98 90.00°
Space group C2/m (No. 12)
Asymmetric unit:
Pm  0.000  0.166  0.000 x4
Dy  0.247  0.500  0.749 x4
Dy  0.249  0.335  0.251 x8
Er  0.000  0.000  0.500 x2
Er  0.000  0.334  0.500 x4
Sc  0.000  0.500  0.000 x2

---

VASP calculation (PBE) on a relaxed structure of Y5Tm4Tl4.

## Properties
* DOS(E_F): 0.74 states/eV per atom
* total DFT energy (no corrections): -4.864 eV per atom

Cell: 12.266 12.266 5.010 Å, 90.00 90.00 90.00°
Space group I4/m (No. 87)
Asymmetric unit:
Y  0.000  0.000  0.000 x2
Y  0.103  0.189  0.500 x8
Tm  0.096  0.399  0.000 x8
Tl  0.099  0.763  0.000 x8

---

VASP calculation (PBE) on a relaxed structure of Cu2NiHgS4.

## Properties
* DOS(E_F): 0.51 states/eV per atom
* formation energy from raw total energies: -26 meV per atom

Cell: 6.261 6.261 7.584 Å, 90.00 90.00 90.00°
Space group I-42m (No. 121)
Asymmetric unit:
Cu  0.000  0.500  0.250 x4
Ni  0.000  0.000  0.000 x2
Hg  0.000  0.000  0.500 x2
S  0.172  0.172  0.206 x8

---

VASP calculation (PBE) on a relaxed structure of Tb2Sm2Bi3.

## Properties
* DOS(E_F): 0.45 states/eV per atom
* total DFT energy (no corrections): -4.962 eV per atom

Cell: 14.505 4.461 7.614 Å, 90.00 98.70 90.00°
Space group C2/m (No. 12)
Asymmetric unit:
Tb  0.124  0.000  0.368 x4
Sm  0.118  0.500  0.888 x4
Bi  0.000  0.500  0.500 x2
Bi  0.244  0.000  0.748 x4

---

VASP calculation (PBE) on a relaxed structure of PmPrSb2O8.

## Properties
* DOS(E_F): 0.00 states/eV per atom
* formation energy from raw total energies: -2291 meV per atom

Cell: 5.393 5.393 11.595 Å, 90.00 90.00 90.00°
Space group I-4 (No. 82)
Asymmetric unit:
Pm  0.000  0.000  0.000 x2
Pr  0.000  0.500  0.250 x2
Sb  0.000  0.000  0.500 x2
Sb  0.000  0.500  0.750 x2
O  0.170  0.750  0.838 x8
O  0.175  0.249  0.414 x8